Entry 1:
The following is a PBE-GGA calculation of an optimized crystal structure of UTa2OsC4, from Alexandria via LeMat-Bulk.

a = 3.236 Å, b = 11.285 Å, c = 11.002 Å
α = 90.00°, β = 90.00°, γ = 90.00°
Space group Cmcm (No. 63)
Symmetry-distinct sites (fractional):
U: 0.000 0.109 0.250 (multiplicity 4)
Ta: 0.000 0.372 0.041 (multiplicity 8)
Os: 0.000 0.151 0.750 (multiplicity 4)
C: 0.000 0.000 0.000 (multiplicity 4)
C: 0.000 0.272 0.619 (multiplicity 8)
C: 0.000 0.452 0.250 (multiplicity 4)

Calculated values
E_tot = -10.5325 eV per atom
volume = 12.56 Å³/atom
calculated formation energy = -0.1427 eV per atom


Entry 2:
The following is a PBE-GGA calculation of an optimized crystal structure of Zr2TaOsC, from Alexandria via LeMat-Bulk.

a = 5.181 Å, b = 5.181 Å, c = 3.827 Å
α = 90.00°, β = 90.00°, γ = 90.00°
Space group P4/mmm (No. 123)
Symmetry-distinct sites (fractional):
Zr: 0.000 0.500 0.000 (multiplicity 2)
Ta: 0.000 0.000 0.500 (multiplicity 1)
Os: 0.500 0.500 0.000 (multiplicity 1)
C: 0.500 0.500 0.500 (multiplicity 1)

Calculated values
E_tot = -8.8843 eV per atom
volume = 20.55 Å³/atom
calculated formation energy = 0.9963 eV per atom


Entry 3:
The following is a PBE-GGA calculation of an optimized crystal structure of Tb2OsC2, from Alexandria via LeMat-Bulk.

a = 6.468 Å, b = 5.170 Å, c = 9.849 Å
α = 90.00°, β = 90.00°, γ = 90.00°
Space group Pnma (No. 62)
Symmetry-distinct sites (fractional):
Tb: 0.025 0.250 0.219 (multiplicity 4)
Tb: 0.186 0.250 0.551 (multiplicity 4)
Os: 0.228 0.250 0.864 (multiplicity 4)
C: 0.036 0.750 0.242 (multiplicity 4)
C: 0.177 0.750 0.551 (multiplicity 4)

Calculated values
E_tot = -8.1589 eV per atom
volume = 16.47 Å³/atom
calculated formation energy = -0.3713 eV per atom
E above lowest polymorph = 0 meV/atom